Computed, not measured: a relaxed LaPrY5Tm2 crystal at the PBE level of DFT.

Computed properties:
ΔE_f: 0.158 eV/atom
Total DFT energy (no corrections): -49.55 eV per formula unit
Space-group type: Cmc2_1 (36)

Cell lengths 11.1537, 11.1537, 9.7420 Å; angles 90.00, 90.00, 150.06 degrees
With the nearest neighbours (Å) after each atom.
Sites, in units of the cell vectors:
La 0.0955 0.9045 0.5000  2 Y 3.07-3.18
La 0.9045 0.0955 0.0000  2 Y 3.07-3.18
Pr 0.3075 0.6925 0.1055  2 Tm 3.35-3.42, 5 Y 3.44-3.52, 2 La 3.71
Pr 0.6925 0.3075 0.6055  2 Tm 3.35-3.42, 5 Y 3.44-3.52, 2 La 3.71
Y 0.0296 0.9704 0.8264  2 La 3.18-3.48, 3 Y 3.32-3.56, 2 Tm 3.49
Y 0.1071 0.8929 0.1205  3 Y 3.32-3.63, 4 Tm 3.35-3.55, 1 La 3.71
Y 0.1931 0.8069 0.8004  3 Pr 3.45-3.86, 5 Y 3.49-3.82, 3 Tm 3.52-3.69, 1 La 3.60
Y 0.2329 0.7671 0.4180  1 La 3.07, 1 Tm 3.33
Y 0.4886 0.5114 0.1030  2 Tm 3.28-3.64, 2 La 3.55, 2 Y 3.63
Y 0.5114 0.4886 0.6030  2 Tm 3.28-3.64, 2 La 3.55, 2 Y 3.63
Y 0.7671 0.2329 0.9180  1 La 3.07, 1 Tm 3.33
Y 0.8069 0.1931 0.3004  3 Pr 3.45-3.86, 5 Y 3.49-3.82, 3 Tm 3.52-3.69, 1 La 3.60
Y 0.8929 0.1071 0.6205  3 Y 3.32-3.63, 4 Tm 3.35-3.55, 1 La 3.71
Y 0.9704 0.0296 0.3264  2 La 3.18-3.48, 3 Y 3.32-3.56, 2 Tm 3.49
Tm 0.3641 0.6359 0.7849  1 Pr 3.35, 4 Y 3.35-3.69, 2 La 3.67, 1 Tm 3.70
Tm 0.3874 0.6126 0.4086  8 Y 3.28-3.55, 1 Pr 3.42
Tm 0.6126 0.3874 0.9086  8 Y 3.28-3.55, 1 Pr 3.42
Tm 0.6359 0.3641 0.2849  1 Pr 3.35, 4 Y 3.35-3.69, 2 La 3.67, 1 Tm 3.70